This record from the Alexandria database describes LiMnWO6 after structural relaxation. The functional is GGA+U.

Unit cell a=4.684 b=4.684 c=8.911 alpha=90.00 beta=90.00 gamma=90.00
Element x y z (fractional)
O 0.788 0.212 0.818
O 0.294 0.294 0.680
O 0.712 0.712 0.318
O 0.184 0.816 0.498
O 0.288 0.288 0.318
O 0.794 0.206 0.180
O 0.206 0.794 0.180
O 0.212 0.788 0.818
O 0.816 0.184 0.498
O 0.706 0.706 0.680
O 0.316 0.316 0.998
O 0.684 0.684 0.998
Mn 0.000 0.000 0.333
Mn 0.500 0.500 0.833
W 0.000 0.000 0.670
W 0.500 0.500 0.170
Li 0.500 0.500 0.504
Li 0.000 0.000 0.004

Results
size of the total moment	4.023	μB per cell
space-group type	P4_2nm, No. 102
raw total energy	-120.94	eV per cell